(1)
Computed, not measured: an optimized crystal structure of YTm2Ga2 at the GGA-PBE level of DFT.

The space group is P4/mbm (No. 127) and the conventional cell measures 7.651, 7.651 and 4.216 Å, with angles of 90.00, 90.00 and 90.00 degrees. Symmetry generates all atoms from Y at (0.000, 0.000, 0.000), Tm at (0.174, 0.326, 0.500) and Ga at (0.120, 0.620, 0.000).

Its distance to the lowest polymorph of the same formula is 0 meV/atom.

***

(2)
Computed, not measured: an optimized crystal structure of YTm3Ga2 at the GGA-PBE level of DFT.

The space group is C2/m (No. 12) and the conventional cell measures 15.798, 5.014 and 8.790 Å, with angles of 90.00, 118.02 and 90.00 degrees. Symmetry generates all atoms from Y at (0.131, 0.000, 0.189), Tm at (0.062, 0.000, 0.717), Tm at (0.120, 0.500, 0.512), Tm at (0.187, 0.500, 0.989), Ga at (0.016, 0.500, 0.152) and Ga at (0.227, 0.000, 0.616).

Its distance to the lowest polymorph of the same formula is 103 meV/atom.

***

(3)
Computed, not measured: an optimized crystal structure of YTmGa2 at the GGA-PBE level of DFT.

The space group is Amm2 (No. 38) and the conventional cell measures 4.026, 4.333 and 10.809 Å, with angles of 90.00, 90.00 and 90.00 degrees. Symmetry generates all atoms from Y at (0.000, 0.000, 0.000), Tm at (0.500, 0.000, 0.278), Ga at (0.000, 0.000, 0.718) and Ga at (0.500, 0.000, 0.563).

***

(4)
Computed, not measured: an optimized crystal structure of Y2TmGa2 at the GGA-PBE level of DFT.

The space group is P4/mbm (No. 127) and the conventional cell measures 7.648, 7.648 and 4.291 Å, with angles of 90.00, 90.00 and 90.00 degrees. Symmetry generates all atoms from Y at (0.175, 0.325, 0.000), Tm at (0.000, 0.000, 0.500) and Ga at (0.120, 0.620, 0.500).

Its distance to the lowest polymorph of the same formula is 0 meV/atom.

***

(5)
Computed, not measured: an optimized crystal structure of YTm2Ga at the GGA-PBE level of DFT.

The space group is R3m (No. 160, hexagonal axes) and the conventional cell measures 3.5735, 3.5735 and 30.3020 Å, with angles of 90.00, 90.00 and 120.00 degrees. Symmetry generates all atoms from Y at (0.0000, 0.0000, 0.0000), Tm at (0.0000, 0.0000, 0.5706), Tm at (0.0000, 0.0000, 0.7621) and Ga at (0.0000, 0.0000, 0.1660).

Its distance to the lowest polymorph of the same formula is 88 meV/atom.

***

(6)
Computed, not measured: an optimized crystal structure of Y3TmGa8 at the GGA-PBE level of DFT.

The space group is R3m (No. 160, hexagonal axes) and the conventional cell measures 5.4829, 5.4829 and 27.1993 Å, with angles of 90.00, 90.00 and 120.00 degrees. Symmetry generates all atoms from Y at (0.0000, 0.0000, 0.0000), Y at (0.0000, 0.0000, 0.1242), Y at (0.0000, 0.0000, 0.6237), Tm at (0.0000, 0.0000, 0.5002), Ga at (0.0000, 0.0000, 0.3119), Ga at (0.0000, 0.0000, 0.8121), Ga at (0.0004, 0.5002, 0.0624) and Ga at (0.9999, 0.5000, 0.5616).

***

Number 1: total magnetization 0.00 Bohr magnetons per cell, energy of formation -0.513 eV per atom, calculated total energy -4.805 eV/atom. Number 2: total magnetization 0.00 Bohr magnetons per cell, energy of formation -0.336 eV per atom, calculated total energy -4.658 eV/atom. Number 3: total magnetization 0.00 Bohr magnetons per cell, energy of formation -0.644 eV per atom, calculated total energy -4.891 eV/atom. Number 4: total magnetization 0.00 Bohr magnetons per cell, energy of formation -0.557 eV per atom, calculated total energy -5.247 eV/atom. Number 5: total magnetization 2.16 Bohr magnetons per cell, energy of formation -0.203 eV per atom, calculated total energy -4.812 eV/atom. Number 6: total magnetization 0.00 Bohr magnetons per cell, energy of formation -0.560 eV per atom, calculated total energy -4.566 eV/atom.